Entry 1:
The following is a DFT calculation (GGA-PBE) of a relaxed structure of CeZn2FeH8.

a = 4.3294 Å, b = 4.6175 Å, c = 5.0198 Å
α = 97.61°, β = 90.82°, γ = 90.35°
Closest atoms and distances in Å follow each position.
Fractional positions:
Ce  0.0000  0.0000  0.0000  12 H 2.36-2.59
Zn  0.4909  0.4013  0.7355  2 H 1.69-1.83
Zn  0.5091  0.5987  0.2645  2 H 1.69-1.83
Fe  0.0000  0.5000  0.5000  6 H 1.57-1.61
H  0.0981  0.5180  0.1954  1 Fe 1.61
H  0.1667  0.1968  0.4873  1 Fe 1.57
H  0.2627  0.7214  0.6170  1 Fe 1.58
H  0.4995  0.0615  0.8254  1 Zn 1.69
H  0.5005  0.9385  0.1746  1 Zn 1.69
H  0.7373  0.2786  0.3830  1 Fe 1.58
H  0.8333  0.8032  0.5127  1 Fe 1.57
H  0.9019  0.4820  0.8046  1 Fe 1.61

Computed properties:
Symmetry: P-1, No. 2
Final energy: -3.799 eV per atom
Crystal system: triclinic
M_tot: 0.62 μB/cell

***

Entry 2:
The following is a DFT calculation (GGA-PBE) of a relaxed structure of ZnAgCl2.

a = 3.5092 Å, b = 6.8104 Å, c = 8.6759 Å
α = 90.00°, β = 90.00°, γ = 90.00°
Closest atoms and distances in Å follow each position.
Fractional positions:
Zn  0.0000  0.0000  0.0000  2 Cl 2.33
Zn  0.5000  0.5000  0.0000  2 Cl 2.33
Ag  0.0000  0.5000  0.7732  2 Cl 2.47, 2 Zn 2.64
Ag  0.5000  0.0000  0.7732  2 Cl 2.47, 2 Zn 2.64
Cl  0.0000  0.0000  0.5720  2 Ag 2.47
Cl  0.0000  0.5000  0.1768  2 Zn 2.33
Cl  0.5000  0.0000  0.1768  2 Zn 2.33
Cl  0.5000  0.5000  0.5720  2 Ag 2.47

Computed properties:
Symmetry: Cmm2, No. 35
ΔE_f (raw): -0.365 eV/atom
Crystal system: orthorhombic
M_tot: 0.00 μB/cell

***

Entry 3:
The following is a DFT calculation (GGA-PBE) of a relaxed structure of Pb2BrF.

a = 5.5387 Å, b = 5.5387 Å, c = 16.8817 Å
α = 90.00°, β = 90.00°, γ = 90.00°
Closest atoms and distances in Å follow each position.
Fractional positions:
Pb  0.1294  0.2500  0.1250  2 F 2.62
Pb  0.2500  0.6294  0.3750  2 F 2.62
Pb  0.2500  0.8706  0.8750  2 F 2.62
Pb  0.3706  0.2500  0.6250  2 F 2.62
Pb  0.6294  0.7500  0.6250  2 F 2.62
Pb  0.7500  0.1294  0.8750  2 F 2.62
Pb  0.7500  0.3706  0.3750  2 F 2.62
Pb  0.8706  0.7500  0.1250  2 F 2.62
Br  0.0000  0.0000  0.5000  4 Pb 3.25
Br  0.0000  0.5000  0.7500  4 Pb 3.25
Br  0.5000  0.0000  0.2500  4 Pb 3.25
Br  0.5000  0.5000  0.0000  4 Pb 3.25
F  0.0000  0.0000  0.0000  4 Pb 2.62
F  0.0000  0.5000  0.2500  4 Pb 2.62
F  0.5000  0.0000  0.7500  4 Pb 2.62
F  0.5000  0.5000  0.5000  4 Pb 2.62

Computed properties:
Symmetry: I-42d, No. 122
ΔE_f (raw): -0.879 eV/atom
Crystal system: tetragonal
M_tot: 0.00 μB/cell

***

Entry 4:
The following is a DFT calculation (GGA-PBE) of a relaxed structure of Hg5S24.

a = 5.8769 Å, b = 11.9254 Å, c = 15.2915 Å
α = 88.33°, β = 79.32°, γ = 77.26°
Closest atoms and distances in Å follow each position.
Fractional positions:
Hg  0.0000  0.0000  0.0000  8 S 3.76-4.19
Hg  0.0563  0.1524  0.4381  1 Hg 3.35, 1 S 3.60
Hg  0.1326  0.5572  0.7166  2 Hg 3.14-3.16, 1 S 3.40
Hg  0.4210  0.0931  0.5862  2 S 2.45-2.46
Hg  0.5969  0.6524  0.6988  2 Hg 3.14-3.16, 1 S 3.45
S  0.1643  0.4901  0.9647  1 S 1.97
S  0.1987  0.2795  0.6521  1 S 2.01
S  0.2013  0.9327  0.7545  1 S 1.93
S  0.2193  0.4627  0.4065  1 S 1.97
S  0.2241  0.8453  0.2871  1 S 1.97
S  0.2505  0.1890  0.1700  1 S 1.97
S  0.2940  0.6461  0.9878  1 S 1.97
S  0.4644  0.4737  0.4764  1 S 1.97
S  0.4914  0.8539  0.1647  1 S 1.97
S  0.5256  0.2599  0.1335  1 S 1.97
S  0.6147  0.0643  0.7824  1 S 1.95
S  0.6239  0.6132  0.9216  1 S 1.97
S  0.6625  0.5916  0.3955  1 S 1.97
S  0.6775  0.2616  0.2559  1 S 1.97
S  0.6853  0.9071  0.5369  1 S 2.00
S  0.7976  0.7774  0.1970  1 S 1.97
S  0.8264  0.1633  0.7997  2 S 1.95-2.17
S  0.8282  0.5228  0.0230  1 S 1.97
S  0.8575  0.2670  0.6811  2 S 2.01-2.17
S  0.9174  0.6068  0.4589  1 S 1.97
S  0.9175  0.9185  0.2541  1 S 1.97
S  0.9288  0.8871  0.7258  1 S 1.93
S  0.9502  0.3348  0.2198  1 S 1.97
S  0.9826  0.9135  0.5812  2 S 2.00-2.20

Computed properties:
Symmetry: P1, No. 1
ΔE_f (raw): 0.091 eV/atom
Crystal system: triclinic
M_tot: 0.00 μB/cell

***

Entry 5:
The following is a DFT calculation (GGA-PBE) of a relaxed structure of CoRu2Pt.

a = 6.0908 Å, b = 6.0908 Å, c = 6.0908 Å
α = 90.00°, β = 90.00°, γ = 90.00°
Closest atoms and distances in Å follow each position.
Fractional positions:
Co  0.0000  0.0000  0.0000  4 Ru 2.64, 4 Pt 2.64
Co  0.0000  0.5000  0.5000  4 Ru 2.64, 4 Pt 2.64
Co  0.5000  0.0000  0.5000  4 Ru 2.64, 4 Pt 2.64
Co  0.5000  0.5000  0.0000  4 Ru 2.64, 4 Pt 2.64
Ru  0.0000  0.0000  0.5000  4 Ru 2.64, 4 Pt 2.64
Ru  0.0000  0.5000  0.0000  4 Pt 2.64, 4 Ru 2.64
Ru  0.2500  0.2500  0.7500  4 Co 2.64, 4 Ru 2.64
Ru  0.2500  0.7500  0.2500  4 Co 2.64, 4 Ru 2.64
Ru  0.5000  0.0000  0.0000  4 Pt 2.64, 4 Ru 2.64
Ru  0.5000  0.5000  0.5000  4 Pt 2.64, 4 Ru 2.64
Ru  0.7500  0.2500  0.2500  4 Co 2.64, 4 Ru 2.64
Ru  0.7500  0.7500  0.7500  4 Co 2.64, 4 Ru 2.64
Pt  0.2500  0.2500  0.2500  4 Co 2.64, 4 Ru 2.64
Pt  0.2500  0.7500  0.7500  4 Co 2.64, 4 Ru 2.64
Pt  0.7500  0.2500  0.7500  4 Co 2.64, 4 Ru 2.64
Pt  0.7500  0.7500  0.2500  4 Co 2.64, 4 Ru 2.64

Computed properties:
Symmetry: F-43m, No. 216
Energy of formation from the pure elements: 0.371 eV/atom
Crystal system: cubic
M_tot: 13.93 μB/cell

***

Entry 6:
The following is a DFT calculation (GGA-PBE) of a relaxed structure of Zr2CoRh.

a = 3.1807 Å, b = 3.2764 Å, c = 6.5606 Å
α = 90.00°, β = 90.00°, γ = 90.00°
Closest atoms and distances in Å follow each position.
Fractional positions:
Zr  0.0000  0.0000  0.2405  4 Co 2.78, 4 Rh 2.85
Zr  0.0000  0.0000  0.7595  4 Co 2.78, 4 Rh 2.85
Co  0.5000  0.5000  0.0000  8 Zr 2.78
Rh  0.5000  0.5000  0.5000  8 Zr 2.85, 2 Rh 3.18

Computed properties:
Symmetry: Pmmm, No. 47
Energy of formation from the pure elements: -0.517 eV/atom
Crystal system: orthorhombic
M_tot: 0.62 μB/cell

***

Entry 7:
The following is a DFT calculation (GGA-PBE) of a relaxed structure of Dy2In3Hg4.

a = 8.8799 Å, b = 8.8799 Å, c = 8.6655 Å
α = 90.00°, β = 90.00°, γ = 138.35°
Closest atoms and distances in Å follow each position.
Fractional positions:
Dy  0.1110  0.8890  0.9216  7 Hg 3.33-3.44, 6 In 3.57-3.72
Dy  0.3890  0.6110  0.4216  7 Hg 3.33-3.44, 6 In 3.57-3.72
Dy  0.6110  0.3890  0.5784  7 Hg 3.33-3.44, 6 In 3.57-3.72
Dy  0.8890  0.1110  0.0784  7 Hg 3.33-3.44, 6 In 3.57-3.72
In  0.0000  0.0000  0.5000  6 Hg 2.78-2.92
In  0.0316  0.4684  0.7500  5 Hg 2.89-3.14, 2 In 3.16
In  0.4684  0.0316  0.2500  5 Hg 2.89-3.14, 2 In 3.16
In  0.5000  0.5000  0.0000  6 Hg 2.78-2.92
In  0.5316  0.9684  0.7500  5 Hg 2.89-3.14, 2 In 3.16
In  0.9684  0.5316  0.2500  5 Hg 2.89-3.14, 2 In 3.16
Hg  0.1738  0.8262  0.5513  5 In 2.92-3.14
Hg  0.2058  0.2942  0.7500  3 In 2.78-2.89
Hg  0.2942  0.2058  0.2500  3 In 2.78-2.89
Hg  0.3262  0.6738  0.0513  5 In 2.92-3.14
Hg  0.6738  0.3262  0.9487  5 In 2.92-3.14
Hg  0.7058  0.7942  0.7500  3 In 2.78-2.89
Hg  0.7942  0.7058  0.2500  3 In 2.78-2.89
Hg  0.8262  0.1738  0.4487  5 In 2.92-3.14

Computed properties:
Symmetry: Cmce, No. 64
Energy of formation from the pure elements: -0.192 eV/atom
Crystal system: orthorhombic
M_tot: 0.00 μB/cell

***

Entry 8:
The following is a DFT calculation (GGA-PBE) of a relaxed structure of BaTi3As.

a = 4.9671 Å, b = 4.9671 Å, c = 4.9671 Å
α = 90.00°, β = 90.00°, γ = 90.00°
Closest atoms and distances in Å follow each position.
Fractional positions:
Ba  0.0000  0.0000  0.0000  6 Ti 2.48
Ti  0.0000  0.0000  0.5000  2 Ba 2.48
Ti  0.0000  0.5000  0.0000  2 Ba 2.48
Ti  0.5000  0.0000  0.0000  2 Ba 2.48
As  0.5000  0.5000  0.5000  12 Ti 3.51

Computed properties:
Symmetry: Pm-3m, No. 221
Energy of formation from the pure elements: 1.804 eV/atom
Crystal system: cubic
M_tot: 1.64 μB/cell

***

Entry 9:
The following is a DFT calculation (GGA-PBE) of a relaxed structure of FeSbAs2Br.

a = 4.5799 Å, b = 4.5799 Å, c = 5.1757 Å
α = 90.00°, β = 90.00°, γ = 90.00°
Closest atoms and distances in Å follow each position.
Fractional positions:
Fe  0.0000  0.0000  0.0000  4 As 2.29
Sb  0.5000  0.5000  0.5000  4 Br 3.24, 8 As 3.46
As  0.0000  0.5000  0.0000  2 Fe 2.29
As  0.5000  0.0000  0.0000  2 Fe 2.29
Br  0.0000  0.0000  0.5000  2 Fe 2.59

Computed properties:
Symmetry: P4/mmm, No. 123
ΔE_f (raw): 0.415 eV/atom
Crystal system: tetragonal
M_tot: 1.09 μB/cell

***

Entry 10:
The following is a DFT calculation (GGA-PBE) of a relaxed structure of MgReSi.

a = 5.4782 Å, b = 5.8989 Å, c = 6.3802 Å
α = 90.00°, β = 90.00°, γ = 90.00°
Closest atoms and distances in Å follow each position.
Fractional positions:
Mg  0.0000  0.2500  0.1606  5 Si 2.72-3.03, 4 Re 2.96
Mg  0.0000  0.7500  0.8394  5 Si 2.72-3.03, 4 Re 2.96
Mg  0.5000  0.2500  0.8394  5 Si 2.72-3.03, 4 Re 2.96
Mg  0.5000  0.7500  0.1606  5 Si 2.72-3.03, 4 Re 2.96
Re  0.2500  0.0000  0.5000  4 Si 2.50, 2 Re 2.74
Re  0.2500  0.5000  0.5000  4 Si 2.50, 2 Re 2.74
Re  0.7500  0.0000  0.5000  4 Si 2.50, 2 Re 2.74
Re  0.7500  0.5000  0.5000  4 Si 2.50, 2 Re 2.74
Si  0.0000  0.2500  0.7337  4 Re 2.50, 1 Mg 2.72
Si  0.0000  0.7500  0.2663  4 Re 2.50, 1 Mg 2.72
Si  0.5000  0.2500  0.2663  4 Re 2.50, 1 Mg 2.72
Si  0.5000  0.7500  0.7337  4 Re 2.50, 1 Mg 2.72

Computed properties:
Symmetry: Cmme, No. 67
ΔE_f (raw): -0.102 eV/atom
Crystal system: orthorhombic
M_tot: 0.00 μB/cell

***

Entry 11:
The following is a DFT calculation (GGA-PBE) of a relaxed structure of TaTe4Ir.

a = 14.3212 Å, b = 3.8503 Å, c = 6.2935 Å
α = 90.00°, β = 103.41°, γ = 90.00°
Closest atoms and distances in Å follow each position.
Fractional positions:
Ta  0.0000  0.0000  0.0000  6 Te 2.65-2.91
Ta  0.5000  0.5000  0.0000  6 Te 2.65-2.91
Te  0.0882  0.0000  0.4659  2 Ir 2.69, 1 Ta 2.91
Te  0.1373  0.5000  0.9773  1 Ir 2.73, 2 Ta 2.78
Te  0.3565  0.5000  0.6466  1 Ta 2.65, 2 Ir 2.74
Te  0.3923  0.0000  0.1841  1 Ir 2.75, 2 Ta 2.87
Te  0.5882  0.5000  0.4659  2 Ir 2.69, 1 Ta 2.91
Te  0.6373  0.0000  0.9773  1 Ir 2.73, 2 Ta 2.78
Te  0.8565  0.0000  0.6466  1 Ta 2.65, 2 Ir 2.74
Te  0.8923  0.5000  0.1841  1 Ir 2.75, 2 Ta 2.87
Ir  0.4888  0.0000  0.6159  6 Te 2.69-2.75
Ir  0.9888  0.5000  0.6159  6 Te 2.69-2.75

Computed properties:
Symmetry: Cm, No. 8
ΔE_f (raw): -0.354 eV/atom
Crystal system: monoclinic
M_tot: 0.00 μB/cell

***

Entry 12:
The following is a DFT calculation (GGA-PBE) of a relaxed structure of PmGd3Mn.

a = 5.3413 Å, b = 5.3413 Å, c = 5.3413 Å
α = 90.00°, β = 90.00°, γ = 90.00°
Closest atoms and distances in Å follow each position.
Fractional positions:
Pm  0.0000  0.0000  0.0000  12 Gd 3.78
Gd  0.0000  0.5000  0.5000  2 Mn 2.67
Gd  0.5000  0.0000  0.5000  2 Mn 2.67
Gd  0.5000  0.5000  0.0000  2 Mn 2.67
Mn  0.5000  0.5000  0.5000  6 Gd 2.67

Computed properties:
Symmetry: Pm-3m, No. 221
Energy of formation from the pure elements: 0.193 eV/atom
Crystal system: cubic
M_tot: 21.62 μB/cell